[1]
Material: Tl2H6Au
Method: DFT, PBE
State: optimized geometry

The space group is C2/m (No. 12) and the conventional cell measures 12.4016, 7.4508 and 6.1385 Å, with angles of 90.00, 96.57 and 90.00 degrees. The inequivalent atoms are Tl at (0.1530, 0.2413, 0.1754), H at (0.0040, 0.0000, 0.8048), H at (0.0086, 0.5000, 0.4428), H at (0.0872, 0.5000, 0.1592), H at (0.1156, 0.2223, 0.6804), H at (0.2254, 0.0000, 0.5503) and Au at (0.1155, 0.0000, 0.6798).

The calculation puts the theoretical density at 7.21 g/cm³. The value obtained for the total magnetic moment is 0.00 μB/f.u. Its total energy is -104.58 eV for the cell shown.


[2]
Material: TlH3Au
Method: DFT, PBE
State: optimized geometry

The space group is Pm-3m (No. 221) and the conventional cell measures 3.9389, 3.9389 and 3.9389 Å, with angles of 90.00, 90.00 and 90.00 degrees. The inequivalent atoms are Tl at (0.0000, 0.0000, 0.0000), H at (0.0000, 0.5000, 0.5000) and Au at (0.5000, 0.5000, 0.5000).

The energy above the most stable polymorph in this dataset is 0.127 eV per atom. The calculation puts the theoretical density at 10.99 g/cm³. The value obtained for the total magnetic moment is 0.00 μB/f.u. Its total energy is -14.35 eV for the cell shown.


[3]
Material: Tl2HAu
Method: DFT, PBE
State: optimized geometry

The space group is R-3m (No. 166, hexagonal axes) and the conventional cell measures 3.8783, 3.8783 and 19.9796 Å, with angles of 90.00, 90.00 and 120.00 degrees. The inequivalent atoms are Tl at (0.0000, 0.0000, 0.2354), H at (0.0000, 0.0000, 0.5000) and Au at (0.0000, 0.0000, 0.0000).

The energy above the most stable polymorph in this dataset is 0.025 eV per atom. The calculation puts the theoretical density at 11.61 g/cm³. The value obtained for the total magnetic moment is 0.00 μB/f.u. Its total energy is -31.07 eV for the cell shown.


[4]
Material: Y2TlHAu
Method: DFT, PBE
State: optimized geometry

The space group is P4/mmm (No. 123) and the conventional cell measures 4.9850, 4.9850 and 4.1076 Å, with angles of 90.00, 90.00 and 90.00 degrees. The inequivalent atoms are Y at (0.0000, 0.5000, 0.0000), Tl at (0.0000, 0.0000, 0.5000), H at (0.5000, 0.5000, 0.0000) and Au at (0.5000, 0.5000, 0.5000).

The calculation puts the theoretical density at 9.44 g/cm³. The value obtained for the total magnetic moment is 0.54 μB/f.u. Its total energy is -24.21 eV for the cell shown.


[5]
Material: Zr2TlHAu
Method: DFT, PBE
State: optimized geometry

The space group is P4/mmm (No. 123) and the conventional cell measures 4.4500, 4.4500 and 4.3664 Å, with angles of 90.00, 90.00 and 90.00 degrees. The inequivalent atoms are Zr at (0.0000, 0.5000, 0.0000), Tl at (0.0000, 0.0000, 0.5000), H at (0.5000, 0.5000, 0.0000) and Au at (0.5000, 0.5000, 0.5000).

The calculation puts the theoretical density at 11.23 g/cm³. The value obtained for the total magnetic moment is 0.00 μB/f.u. Its total energy is -27.39 eV for the cell shown.


[6]
Material: Tm12H5Au3
Method: DFT, PBE
State: optimized geometry

The space group is Ia-3d (No. 230) and the conventional cell measures 15.0617, 15.0617 and 15.0617 Å, with angles of 90.00, 90.00 and 90.00 degrees. The inequivalent atoms are Tm at (0.0397, 0.0572, 0.6530), H at (0.0000, 0.0000, 0.0000), H at (0.0000, 0.2500, 0.3750) and Au at (0.0000, 0.2500, 0.1250).

The calculation puts the theoretical density at 10.20 g/cm³. The value obtained for the total magnetic moment is 0.00 μB/f.u. Its total energy is -707.91 eV for the cell shown.


[7]
Material: TmHAu
Method: DFT, PBE
State: optimized geometry

The space group is P6_3mc (No. 186) and the conventional cell measures 7.9180, 7.9180 and 7.1994 Å, with angles of 90.00, 90.00 and 120.00 degrees. The inequivalent atoms are Tm at (0.1706, 0.3411, 0.0000), Tm at (0.3333, 0.6667, 0.6307), H at (0.1654, 0.3307, 0.6651), H at (0.3333, 0.6667, 0.9266), Au at (0.0000, 0.0000, 0.2635) and Au at (0.0834, 0.5417, 0.3017).

The energy above the most stable polymorph in this dataset is 0.002 eV per atom. The calculation puts the theoretical density at 12.47 g/cm³. The value obtained for the total magnetic moment is 0.00 μB/f.u. Its total energy is -102.13 eV for the cell shown.


[8]
Material: TmHAu
Method: DFT, PBE
State: optimized geometry

The space group is I4mm (No. 107) and the conventional cell measures 3.4898, 3.4898 and 8.8427 Å, with angles of 90.00, 90.00 and 90.00 degrees. The inequivalent atoms are Tm at (0.0000, 0.0000, 0.0000), H at (0.0000, 0.0000, 0.4575) and Au at (0.0000, 0.0000, 0.6811).

The energy above the most stable polymorph in this dataset is 0.211 eV per atom. The calculation puts the theoretical density at 11.32 g/cm³. The value obtained for the total magnetic moment is 0.00 μB/f.u. Its total energy is -24.27 eV for the cell shown.


[9]
Material: Tm4HAu2
Method: DFT, PBE
State: optimized geometry

The space group is I4/mmm (No. 139) and the conventional cell measures 4.6296, 4.6296 and 14.6163 Å, with angles of 90.00, 90.00 and 90.00 degrees. The inequivalent atoms are Tm at (0.0000, 0.0000, 0.1834), Tm at (0.0000, 0.5000, 0.0000), H at (0.0000, 0.0000, 0.0000) and Au at (0.0000, 0.0000, 0.3734).

The calculation puts the theoretical density at 11.35 g/cm³. The value obtained for the total magnetic moment is 0.00 μB/f.u. Its total energy is -63.37 eV for the cell shown.


[10]
Material: Tm2H3Au
Method: DFT, PBE
State: optimized geometry

The space group is C2/m (No. 12) and the conventional cell measures 13.9877, 3.5921 and 7.0137 Å, with angles of 90.00, 112.20 and 90.00 degrees. The inequivalent atoms are Tm at (0.0328, 0.0000, 0.2667), Tm at (0.1983, 0.5000, 0.6773), H at (0.0617, 0.5000, 0.4189), H at (0.0911, 0.0000, 0.6210), H at (0.1944, 0.0000, 0.4782) and Au at (0.1311, 0.5000, 0.0482).

The calculation puts the theoretical density at 10.95 g/cm³. The value obtained for the total magnetic moment is 0.00 μB/f.u. Its total energy is -104.96 eV for the cell shown.


[11]
Material: TmHAu
Method: DFT, PBE
State: optimized geometry

The space group is P-6m2 (No. 187) and the conventional cell measures 3.7289, 3.7289 and 4.2280 Å, with angles of 90.00, 90.00 and 120.00 degrees. The inequivalent atoms are Tm at (0.0000, 0.0000, 0.0000), H at (0.3333, 0.6667, 0.0000) and Au at (0.6667, 0.3333, 0.5000).

The energy above the most stable polymorph in this dataset is 0.000 eV per atom. The calculation puts the theoretical density at 11.97 g/cm³. The value obtained for the total magnetic moment is 0.00 μB/f.u. Its total energy is -12.77 eV for the cell shown.


[12]
Material: VH2Au
Method: DFT, PBE
State: optimized geometry

The space group is R3m (No. 160, hexagonal axes) and the conventional cell measures 2.8949, 2.8949 and 15.7024 Å, with angles of 90.00, 90.00 and 120.00 degrees. The inequivalent atoms are V at (0.0000, 0.0000, 0.0000), H at (0.0000, 0.0000, 0.3796), H at (0.0000, 0.0000, 0.6316) and Au at (0.0000, 0.0000, 0.1772).

The energy above the most stable polymorph in this dataset is 0.006 eV per atom. The calculation puts the theoretical density at 10.92 g/cm³. The value obtained for the total magnetic moment is 0.00 μB/f.u. Its total energy is -57.24 eV for the cell shown.